Computed, not measured: crystalline CeVPb2O6 at its relaxed geometry at the GGA+U level of DFT.

Cell lengths 6.0427, 5.8977, 8.1487 Å; angles 90.00, 87.23, 90.00 degrees
Each line ends with the local moment (μB).
Sites, in units of the cell vectors:
O 0.2645 0.7582 0.0512  -0.01
O 0.4337 0.9997 0.7763  -0.04
O 0.7355 0.2418 0.9488  -0.01
O 0.2355 0.2582 0.4488  -0.01
O 0.5663 0.0003 0.2237  -0.04
O 0.7365 0.7593 0.9488  -0.01
O 0.2365 0.7407 0.4488  -0.01
O 0.9337 0.5003 0.2763  -0.04
O 0.2635 0.2407 0.0512  -0.01
O 0.7645 0.7418 0.5512  -0.01
O 0.0663 0.4997 0.7237  -0.04
O 0.7635 0.2593 0.5512  -0.01
Pb 0.9641 0.0006 0.7424  0.00
Pb 0.0359 0.9994 0.2576  0.00
Pb 0.5359 0.5006 0.7576  0.00
Pb 0.4641 0.4994 0.2424  0.00
V 0.0000 0.5000 0.5000  1.02
V 0.5000 0.0000 0.0000  1.02
Ce 0.5000 0.0000 0.5000  0.02
Ce 0.0000 0.5000 0.0000  0.02

## Properties
- E (eV per atom) = -7.072
- SG = C2/m, No. 12